1.
Compound: Ac5ThTe8
Source: the Alexandria database
Functional: PBE
Structure: relaxed

formation energy without anion corrections: -142 kJ per mole of atoms

a b c (Å): 8.5623 8.5623 8.5623
angles (deg): 109.41 109.41 109.59
Fractional coordinates of all 14 atoms:
Ac: 0.0000 0.0000 0.0000
Ac: 0.2461 0.1220 0.6227
Ac: 0.3767 0.7539 0.8760
Ac: 0.4993 0.6233 0.3773
Ac: 0.8780 0.5007 0.1240
Th: 0.7500 0.2500 0.5000
Te: 0.1178 0.3723 0.4063
Te: 0.1177 0.3722 0.8934
Te: 0.2885 0.8822 0.2545
Te: 0.4788 0.2243 0.1066
Te: 0.6277 0.0340 0.7455
Te: 0.6278 0.5212 0.7455
Te: 0.7757 0.8823 0.2545
Te: 0.9660 0.7115 0.5937

2.
Compound: InCo2Pb2
Source: the Alexandria database
Functional: PBE
Structure: relaxed

E_form: 365 meV per atom
energy above the lowest structure with this stoichiometry: 0.000 eV per atom

a b c (Å): 6.9736 6.9736 4.1048
angles (deg): 90.00 90.00 90.00
Fractional coordinates of all 10 atoms:
In: 0.0000 0.0000 0.0000
In: 0.5000 0.5000 0.0000
Co: 0.1245 0.3755 0.0000
Co: 0.3755 0.8755 0.0000
Co: 0.6245 0.1245 0.0000
Co: 0.8755 0.6245 0.0000
Pb: 0.1682 0.6682 0.5000
Pb: 0.3318 0.1682 0.5000
Pb: 0.6682 0.8318 0.5000
Pb: 0.8318 0.3318 0.5000

3.
Compound: TmCdPd
Source: the Alexandria database
Functional: PBE
Structure: relaxed

E_form: -659 meV per atom

a b c (Å): 5.0179 5.0179 5.7704
angles (deg): 90.00 90.00 120.00
Fractional coordinates of all 6 atoms:
Tm: 0.3333 0.6667 0.2500
Tm: 0.6667 0.3333 0.7500
Cd: 0.0000 0.0000 0.0000
Cd: 0.0000 0.0000 0.5000
Pd: 0.3333 0.6667 0.7500
Pd: 0.6667 0.3333 0.2500

4.
Compound: ZrNiB
Source: the Alexandria database
Functional: PBE
Structure: relaxed

E_form: -503 meV per atom

a b c (Å): 4.6838 3.1675 5.3944
angles (deg): 90.00 108.04 90.00
Fractional coordinates of all 6 atoms:
Zr: 0.0164 0.2500 0.2599
Zr: 0.9836 0.7500 0.7401
Ni: 0.4873 0.2500 0.8111
Ni: 0.5127 0.7500 0.1889
B: 0.4114 0.7500 0.5302
B: 0.5886 0.2500 0.4698

5.
Compound: HgH2Cl6
Source: the Alexandria database
Functional: PBE
Structure: relaxed

DFT total energy: -2.42 eV per atom

a b c (Å): 9.4694 9.4694 7.8967
angles (deg): 107.98 107.98 94.41
Fractional coordinates of all 18 atoms:
Hg: 0.0709 0.9291 0.7500
Hg: 0.9291 0.0709 0.2500
H: 0.0821 0.2795 0.6892
H: 0.2795 0.0821 0.1892
H: 0.7205 0.9179 0.8108
H: 0.9179 0.7205 0.3108
Cl: 0.0216 0.6421 0.3565
Cl: 0.0858 0.2162 0.1656
Cl: 0.2162 0.0858 0.6656
Cl: 0.3579 0.9784 0.1435
Cl: 0.4041 0.5396 0.9864
Cl: 0.4604 0.5959 0.5136
Cl: 0.5396 0.4041 0.4864
Cl: 0.5959 0.4604 0.0136
Cl: 0.6421 0.0216 0.8565
Cl: 0.7838 0.9142 0.3344
Cl: 0.9142 0.7838 0.8344
Cl: 0.9784 0.3579 0.6435

6.
Compound: NbSnI2O
Source: the Alexandria database
Functional: PBE
Structure: relaxed

energy above the lowest structure with this stoichiometry: 0.000 eV per atom
formation energy without anion corrections: -50 kJ per mole of atoms

a b c (Å): 5.9007 5.9007 3.9342
angles (deg): 90.00 90.00 90.00
Fractional coordinates of all 5 atoms:
Nb: 0.0000 0.0000 0.0000
Sn: 0.5000 0.5000 0.5000
I: 0.0000 0.5000 0.0000
I: 0.5000 0.0000 0.0000
O: 0.0000 0.0000 0.5000